Pu4Tc2Ge | PBE-GGA | relaxed

* N(E_F): 13.4 states/eV per cell
* calculated volume: 19.27 Å³ per atom
* VASP energy: -11.214 eV per atom
* crystal system: orthorhombic
* symmetry: Cmmm

abc: 6.9998 6.9998 4.4163
angles: 90.00 90.00 141.45
Sites, in units of the cell vectors:
Pu 0.1508 0.8492 0.0000
Pu 0.2205 0.7795 0.5000
Pu 0.7795 0.2205 0.5000
Pu 0.8492 0.1508 0.0000
Tc 0.4053 0.5947 0.0000
Tc 0.5947 0.4053 0.0000
Ge 0.0000 0.0000 0.5000